Crystalline LaGeCl at its relaxed geometry, computed with PBE.

POSCAR file:
```
LaGeCl
1.0
2.279 -7.671 0.000
2.279 7.671 0.000
0.000 0.000 4.229
La Ge Cl
2 2 2
direct
0.119 0.881 0.750
0.881 0.119 0.250
0.451 0.549 0.750
0.549 0.451 0.250
0.256 0.744 0.250
0.744 0.256 0.750
```

Results
The space group is Cmcm. The formation energy without anion corrections comes out at -426 kJ/mol of formula units. The final energy comes out at -0.194 Ha/atom. The value obtained for the calculated density is 5.549 g/cm3.

=====

Crystalline La2GeCl2 at its relaxed geometry, computed with PBE.

POSCAR file:
```
La2GeCl2
1.0
10.768 0.000 0.000
0.000 8.542 0.000
-2.608 0.000 7.061
La Ge Cl
8 4 8
direct
0.001 0.129 0.229
0.001 0.371 0.729
0.345 0.120 0.750
0.345 0.380 0.250
0.655 0.620 0.750
0.655 0.880 0.250
0.999 0.629 0.271
0.999 0.871 0.771
0.174 0.137 0.990
0.174 0.363 0.490
0.826 0.637 0.510
0.826 0.863 0.010
0.158 0.611 0.005
0.158 0.889 0.505
0.461 0.711 0.389
0.461 0.789 0.889
0.539 0.211 0.111
0.539 0.289 0.611
0.842 0.111 0.495
0.842 0.389 0.995
```

Results
The space group is P2_1/c. The formation energy without anion corrections comes out at -760 kJ/mol of formula units. The final energy comes out at -0.191 Ha/atom. The value obtained for the calculated density is 4.309 g/cm3.

=====

Crystalline La3GeCl at its relaxed geometry, computed with PBE.

POSCAR file:
```
La3GeCl
1.0
5.712 -6.022 0.000
5.712 6.022 0.000
-0.181 0.000 8.492
La Ge Cl
12 4 4
direct
0.055 0.813 0.947
0.061 0.425 0.689
0.187 0.945 0.553
0.303 0.458 0.076
0.425 0.061 0.189
0.458 0.303 0.576
0.542 0.697 0.424
0.575 0.939 0.811
0.697 0.542 0.924
0.813 0.055 0.447
0.939 0.575 0.311
0.945 0.187 0.053
0.145 0.261 0.363
0.261 0.145 0.863
0.739 0.855 0.137
0.855 0.739 0.637
0.238 0.762 0.250
0.365 0.635 0.750
0.635 0.365 0.250
0.762 0.238 0.750
```

Results
The space group is C2/c. The formation energy without anion corrections comes out at -453 kJ/mol of formula units. The final energy comes out at -0.191 Ha/atom. The value obtained for the calculated density is 5.966 g/cm3.

=====

Crystalline La2GeCl at its relaxed geometry, computed with PBE.

POSCAR file:
```
La2GeCl
1.0
6.071 0.000 0.000
0.000 4.417 0.000
-0.012 0.000 8.581
La Ge Cl
4 2 2
direct
0.249 0.250 0.133
0.250 0.250 0.612
0.750 0.750 0.388
0.751 0.750 0.867
0.250 0.750 0.362
0.750 0.250 0.638
0.251 0.750 0.872
0.749 0.250 0.128
```

Results
The space group is P2_1/m. The formation energy without anion corrections comes out at -511 kJ/mol of formula units. The final energy comes out at -0.199 Ha/atom. The value obtained for the calculated density is 5.569 g/cm3.

=====

Crystalline La4Ge2Cl at its relaxed geometry, computed with PBE.

POSCAR file:
```
La4Ge2Cl
1.0
-2.629 2.629 8.034
2.629 -2.629 8.034
2.629 2.629 -8.034
La Ge Cl
4 2 1
direct
0.000 0.500 0.500
0.182 0.182 0.000
0.500 0.000 0.500
0.818 0.818 0.000
0.371 0.371 0.000
0.629 0.629 0.000
0.000 0.000 0.000
```

Results
The space group is I4/mmm. The formation energy without anion corrections comes out at -459 kJ/mol of formula units. The final energy comes out at -0.187 Ha/atom. The value obtained for the calculated density is 5.504 g/cm3.

=====

Crystalline LaGeCl at its relaxed geometry, computed with PBE.

POSCAR file:
```
LaGeCl
1.0
2.854 -2.903 0.000
2.854 2.903 0.000
-0.079 0.000 9.023
La Ge Cl
2 2 2
direct
0.244 0.244 0.261
0.756 0.756 0.739
0.273 0.727 0.000
0.727 0.273 0.000
0.254 0.254 0.621
0.746 0.746 0.379
```

Results
The space group is C2/m. The formation energy without anion corrections comes out at -411 kJ/mol of formula units. The final energy comes out at -0.192 Ha/atom. The value obtained for the calculated density is 5.486 g/cm3.

=====

Crystalline La3GeCl3 at its relaxed geometry, computed with PBE.

POSCAR file:
```
La3GeCl3
1.0
-6.021 6.021 6.021
6.021 -6.021 6.021
6.021 6.021 -6.021
La Ge Cl
12 4 12
direct
0.005 0.010 0.255
0.005 0.495 0.750
0.010 0.255 0.005
0.245 0.255 0.750
0.245 0.490 0.495
0.255 0.005 0.010
0.255 0.750 0.245
0.490 0.495 0.245
0.495 0.245 0.490
0.495 0.750 0.005
0.750 0.005 0.495
0.750 0.245 0.255
0.000 0.250 0.500
0.250 0.250 0.250
0.250 0.500 0.000
0.500 0.000 0.250
0.001 0.002 0.751
0.001 0.499 0.250
0.002 0.751 0.001
0.250 0.001 0.499
0.250 0.749 0.751
0.498 0.499 0.749
0.499 0.250 0.001
0.499 0.749 0.498
0.749 0.498 0.499
0.749 0.751 0.250
0.751 0.001 0.002
0.751 0.250 0.749
```

Results
The space group is I4_132. The formation energy without anion corrections comes out at -1171 kJ/mol of formula units. The final energy comes out at -0.195 Ha/atom. The value obtained for the calculated density is 4.532 g/cm3.

=====

Crystalline La2GeCl8 at its relaxed geometry, computed with PBE.

POSCAR file:
```
La2GeCl8
1.0
10.200 -2.052 0.000
10.200 2.052 0.000
-1.207 0.000 8.357
La Ge Cl
2 1 8
direct
0.156 0.156 0.330
0.844 0.844 0.670
0.500 0.500 0.000
0.011 0.011 0.212
0.239 0.239 0.657
0.367 0.367 0.929
0.395 0.395 0.503
0.605 0.605 0.497
0.633 0.633 0.071
0.761 0.761 0.343
0.989 0.989 0.788
```

Results
The space group is C2/m. The formation energy without anion corrections comes out at -2056 kJ/mol of formula units. The final energy comes out at -0.169 Ha/atom. The value obtained for the calculated density is 3.010 g/cm3.

=====

Crystalline La7GeCl12 at its relaxed geometry, computed with PBE.

POSCAR file:
```
La7GeCl12
1.0
7.550 4.359 3.385
-7.550 4.359 3.385
0.000 -8.718 3.385
La Ge Cl
7 1 12
direct
0.000 0.000 0.000
0.164 0.381 0.469
0.381 0.469 0.164
0.469 0.164 0.381
0.531 0.836 0.619
0.619 0.531 0.836
0.836 0.619 0.531
0.500 0.500 0.500
0.031 0.334 0.119
0.119 0.031 0.334
0.190 0.718 0.580
0.282 0.420 0.810
0.334 0.119 0.031
0.420 0.810 0.282
0.580 0.190 0.718
0.666 0.881 0.969
0.718 0.580 0.190
0.810 0.282 0.420
0.881 0.969 0.666
0.969 0.666 0.881
```

Results
The space group is R-3. The formation energy without anion corrections comes out at -3922 kJ/mol of formula units. The final energy comes out at -0.187 Ha/atom. The value obtained for the calculated density is 3.653 g/cm3.

=====

Crystalline LaGe2Cl8 at its relaxed geometry, computed with PBE.

POSCAR file:
```
LaGe2Cl8
1.0
6.236 -4.268 0.000
6.236 4.268 0.000
-2.884 0.000 7.348
La Ge Cl
1 2 8
direct
0.000 0.000 0.000
0.135 0.135 0.631
0.865 0.865 0.369
0.117 0.700 0.196
0.186 0.186 0.322
0.300 0.883 0.804
0.323 0.323 0.784
0.677 0.677 0.216
0.700 0.117 0.196
0.814 0.814 0.678
0.883 0.300 0.804
```

Results
The space group is C2/m. The formation energy without anion corrections comes out at -1319 kJ/mol of formula units. The final energy comes out at -0.142 Ha/atom. The value obtained for the calculated density is 2.411 g/cm3.

=====

Crystalline La4GeCl3 at its relaxed geometry, computed with PBE.

POSCAR file:
```
La4GeCl3
1.0
7.264 0.000 0.000
0.000 8.463 0.000
-2.476 0.000 6.984
La Ge Cl
8 2 6
direct
0.243 0.124 0.497
0.243 0.876 0.997
0.249 0.378 0.000
0.249 0.622 0.500
0.751 0.378 0.500
0.751 0.622 0.000
0.757 0.124 0.003
0.757 0.876 0.503
0.000 0.131 0.750
0.000 0.869 0.250
0.000 0.375 0.250
0.000 0.625 0.750
0.500 0.123 0.250
0.500 0.369 0.750
0.500 0.631 0.250
0.500 0.877 0.750
```

Results
The space group is P2/c. The formation energy without anion corrections comes out at -1124 kJ/mol of formula units. The final energy comes out at -0.191 Ha/atom. The value obtained for the calculated density is 5.682 g/cm3.

=====

Crystalline La2GeCl at its relaxed geometry, computed with PBE.

POSCAR file:
```
La2GeCl
1.0
0.000 3.721 3.721
3.721 0.000 3.721
3.721 3.721 0.000
La Ge Cl
2 1 1
direct
0.250 0.250 0.250
0.750 0.750 0.750
0.000 0.000 0.000
0.500 0.500 0.500
```

Results
The space group is Fm-3m. The formation energy without anion corrections comes out at -451 kJ/mol of formula units. The final energy comes out at -0.193 Ha/atom. The value obtained for the calculated density is 6.221 g/cm3.

=====

Crystalline La4Ge2Cl3 at its relaxed geometry, computed with PBE.

POSCAR file:
```
La4Ge2Cl3
1.0
3.799 -2.193 0.000
3.799 2.193 0.000
-0.025 0.000 16.993
La Ge Cl
4 2 3
direct
0.001 0.001 0.304
0.334 0.334 0.106
0.666 0.666 0.894
0.999 0.999 0.696
0.332 0.332 0.797
0.668 0.668 0.203
0.000 0.000 0.000
0.335 0.335 0.396
0.665 0.665 0.604
```

Results
The space group is C2/m. The formation energy without anion corrections comes out at -1346 kJ/mol of formula units. The final energy comes out at -0.198 Ha/atom. The value obtained for the calculated density is 4.735 g/cm3.

=====

Crystalline La2GeCl at its relaxed geometry, computed with PBE.

POSCAR file:
```
La2GeCl
1.0
3.609 0.000 0.000
0.000 3.609 0.000
0.000 0.000 7.927
La Ge Cl
2 1 1
direct
0.000 0.000 0.234
0.000 0.000 0.766
0.500 0.500 0.000
0.500 0.500 0.500
```

Results
The space group is P4/mmm. The formation energy without anion corrections comes out at -431 kJ/mol of formula units. The final energy comes out at -0.191 Ha/atom. The value obtained for the calculated density is 6.208 g/cm3.

=====

Crystalline La6Ge5Cl at its relaxed geometry, computed with PBE.

POSCAR file:
```
La6Ge5Cl
1.0
3.809 -6.633 0.000
3.809 6.633 0.000
-2.565 0.000 7.087
La Ge Cl
6 5 1
direct
0.082 0.415 0.245
0.250 0.250 0.749
0.415 0.082 0.245
0.585 0.918 0.755
0.750 0.750 0.251
0.918 0.585 0.755
0.000 0.000 0.000
0.167 0.833 0.500
0.337 0.663 0.000
0.663 0.337 0.000
0.833 0.167 0.500
0.500 0.500 0.500
```

Results
The space group is C2/m. The formation energy without anion corrections comes out at -1080 kJ/mol of formula units. The final energy comes out at -0.201 Ha/atom. The value obtained for the calculated density is 5.712 g/cm3.

=====

Crystalline La2GeCl at its relaxed geometry, computed with PBE.

POSCAR file:
```
La2GeCl
1.0
2.203 1.272 6.860
-2.203 1.272 6.860
0.000 -2.544 6.860
La Ge Cl
2 1 1
direct
0.246 0.246 0.246
0.754 0.754 0.754
0.500 0.500 0.500
0.000 0.000 0.000
```

Results
The space group is R-3m. The formation energy without anion corrections comes out at -518 kJ/mol of formula units. The final energy comes out at -0.199 Ha/atom. The value obtained for the calculated density is 5.555 g/cm3.

=====

Crystalline La4GeCl3 at its relaxed geometry, computed with PBE.

POSCAR file:
```
La4GeCl3
1.0
4.133 -5.981 0.000
4.133 5.981 0.000
0.000 0.000 4.344
La Ge Cl
4 1 3
direct
0.246 0.246 0.500
0.248 0.752 0.000
0.752 0.248 0.000
0.754 0.754 0.500
0.000 0.000 0.000
0.000 0.500 0.500
0.500 0.000 0.500
0.500 0.500 0.000
```

Results
The space group is Cmmm. The formation energy without anion corrections comes out at -1125 kJ/mol of formula units. The final energy comes out at -0.191 Ha/atom. The value obtained for the calculated density is 5.680 g/cm3.

=====

Crystalline La2GeNCl at its relaxed geometry, computed with PBE.

POSCAR file:
```
La2GeNCl
1.0
5.491 0.000 0.000
0.000 5.491 0.000
0.000 0.000 3.948
La Ge N Cl
2 1 1 1
direct
0.000 0.500 0.000
0.500 0.000 0.000
0.000 0.000 0.500
0.500 0.500 0.500
0.500 0.500 0.000
```

Results
The space group is P4/mmm. The formation energy without anion corrections comes out at -34 kJ/mol of formula units. The final energy comes out at -0.184 Ha/atom. The value obtained for the calculated density is 5.578 g/cm3.

=====

Crystalline La6GeN2Cl3 at its relaxed geometry, computed with PBE.

POSCAR file:
```
La6GeN2Cl3
1.0
9.274 -1.986 0.000
9.274 1.986 0.000
-2.830 0.000 8.036
La Ge N Cl
6 1 2 3
direct
0.029 0.029 0.262
0.317 0.317 0.446
0.331 0.331 0.866
0.669 0.669 0.134
0.683 0.683 0.554
0.971 0.971 0.738
0.500 0.500 0.000
0.174 0.174 0.340
0.826 0.826 0.660
0.161 0.161 0.827
0.500 0.500 0.500
0.839 0.839 0.173
```

Results
The space group is C2/m. The formation energy without anion corrections comes out at -1703 kJ/mol of formula units. The final energy comes out at -0.227 Ha/atom. The value obtained for the calculated density is 5.836 g/cm3.

=====

Crystalline LaNi2GeCl at its relaxed geometry, computed with PBE.

POSCAR file:
```
LaNi2GeCl
1.0
4.387 0.000 0.000
0.000 4.387 0.000
0.000 0.000 5.986
La Ni Ge Cl
1 2 1 1
direct
0.000 0.000 0.000
0.000 0.500 0.500
0.500 0.000 0.500
0.000 0.000 0.500
0.500 0.500 0.000
```

Results
The space group is P4/mmm. The formation energy without anion corrections comes out at -122 kJ/mol of formula units. The final energy comes out at -0.178 Ha/atom. The value obtained for the calculated density is 5.253 g/cm3.